Entry 1:
Crystalline BeGa3Sn at its relaxed geometry, computed with PBE.

Results
The calculation puts the formation energy from the elements at 504 kJ/mol of formula units. The theoretical density is 3.69 g/cm³. The calculation puts the offset from the most stable computed form at 802 meV per atom.

Lattice parameters (Å, degrees): 5.332 5.332 5.332 90.00 90.00 90.00
Element x y z (fractional)
Be: 0.000 0.000 0.000
Ga: 0.000 0.500 0.500
Ga: 0.500 0.000 0.500
Ga: 0.500 0.500 0.000
Sn: 0.500 0.500 0.500


Entry 2:
Crystalline Be2GaSn at its relaxed geometry, computed with PBE.

Results
The calculation puts the formation energy from the elements at 245 kJ/mol of formula units. The theoretical density is 5.05 g/cm³. The calculation puts the offset from the most stable computed form at 65 meV per atom.

Lattice parameters (Å, degrees): 5.635 5.635 5.635 105.77 105.77 117.17
Element x y z (fractional)
Be: 0.100 0.625 0.975
Be: 0.375 0.350 0.475
Be: 0.650 0.125 0.025
Be: 0.875 0.900 0.525
Ga: 0.000 0.000 0.000
Ga: 0.750 0.250 0.500
Sn: 0.250 0.750 0.500
Sn: 0.500 0.500 0.000


Entry 3:
Crystalline TaBeGa2Sn at its relaxed geometry, computed with PBE.

Results
The calculation puts the formation energy from the elements at 370 kJ/mol of formula units. The theoretical density is 7.80 g/cm³.

Lattice parameters (Å, degrees): 4.186 4.186 5.448 90.00 90.00 90.00
Element x y z (fractional)
Ta: 0.000 0.000 0.000
Be: 0.500 0.500 0.500
Ga: 0.000 0.500 0.500
Ga: 0.500 0.000 0.500
Sn: 0.500 0.500 0.000


Entry 4:
Crystalline BeZnGa2Sn at its relaxed geometry, computed with PBE.

Results
The calculation puts the formation energy from the elements at 367 kJ/mol of formula units. The theoretical density is 4.13 g/cm³.

Lattice parameters (Å, degrees): 5.430 5.430 4.530 90.00 90.00 90.00
Element x y z (fractional)
Be: 0.000 0.000 0.000
Zn: 0.500 0.500 0.000
Ga: 0.000 0.500 0.500
Ga: 0.500 0.000 0.500
Sn: 0.000 0.000 0.500